VASP calculation (PBE-GGA) on crystalline Sm4Tl2O at its relaxed geometry.

Summary:
SG: P2_1/m (11)
ΔE_f (raw) in eV/atom: -1.02

Lattice parameters (Å, degrees): 6.5987 7.0212 9.2416 90.00 110.33 90.00
Last column: nearest neighbours and their distance in Å.
Sites, in units of the cell vectors:
Sm 0.0308 0.0009 0.2756  1 O 2.28
Sm 0.0308 0.4991 0.2756  1 O 2.28
Sm 0.3755 0.7500 0.0548  1 O 2.27
Sm 0.4254 0.7500 0.6487  1 O 2.29
Sm 0.5746 0.2500 0.3513  1 O 2.29
Sm 0.6245 0.2500 0.9452  1 O 2.27
Sm 0.9692 0.5009 0.7244  1 O 2.28
Sm 0.9692 0.9991 0.7244  1 O 2.28
Tl 0.1928 0.2500 0.0295  6 Sm 3.16-3.33
Tl 0.3062 0.2500 0.5865  8 Sm 3.25-3.60
Tl 0.6938 0.7500 0.4135  8 Sm 3.25-3.60
Tl 0.8072 0.7500 0.9705  6 Sm 3.16-3.33
O 0.2061 0.7500 0.7945  4 Sm 2.27-2.29
O 0.7939 0.2500 0.2055  4 Sm 2.27-2.29

---

VASP calculation (PBE-GGA) on crystalline SmUTl2O6 at its relaxed geometry.

Summary:
SG: C2/m (12)
ΔE_f (raw) in eV/atom: -2.30

Lattice parameters (Å, degrees): 6.1670 6.1670 6.1866 119.81 119.81 60.52
Last column: nearest neighbours and their distance in Å.
Sites, in units of the cell vectors:
Sm 0.0000 0.0000 0.0000  6 O 2.34
U 0.5000 0.5000 0.5000  6 O 2.09
Tl 0.2499 0.2499 0.7409  5 O 2.74-2.85
Tl 0.7501 0.7501 0.2591  5 O 2.74-2.85
O 0.2258 0.6999 0.6979  1 U 2.09, 1 Sm 2.34
O 0.2651 0.2651 0.1979  1 U 2.09
O 0.3001 0.7742 0.3021  1 U 2.09, 1 Sm 2.34
O 0.6999 0.2258 0.6979  1 U 2.09, 1 Sm 2.34
O 0.7349 0.7349 0.8021  1 U 2.09
O 0.7742 0.3001 0.3021  1 U 2.09, 1 Sm 2.34

---

VASP calculation (PBE-GGA) on crystalline SmUTl2O8 at its relaxed geometry.

Summary:
SG: Cmmm (65)
ΔE_f (raw) in eV/atom: -1.94

Lattice parameters (Å, degrees): 5.1930 5.1930 6.9858 90.00 90.00 91.00
Last column: nearest neighbours and their distance in Å.
Sites, in units of the cell vectors:
Sm 0.0000 0.0000 0.0000  6 O 2.27-2.36
U 0.0000 0.0000 0.5000  6 O 2.04-2.18
Tl 0.5000 0.5000 0.2515  6 O 2.23-2.39
Tl 0.5000 0.5000 0.7485  6 O 2.23-2.39
O 0.1788 0.8212 0.2788  1 U 2.04
O 0.1788 0.8212 0.7212  1 U 2.04
O 0.2996 0.2996 0.5000  1 U 2.18, 2 Tl 2.27
O 0.3120 0.3120 0.0000  2 Tl 2.23, 1 Sm 2.27
O 0.6880 0.6880 0.0000  2 Tl 2.23, 1 Sm 2.27
O 0.7004 0.7004 0.5000  1 U 2.18, 2 Tl 2.27
O 0.8212 0.1788 0.2788  1 U 2.04
O 0.8212 0.1788 0.7212  1 U 2.04